Computed, not measured: an optimized crystal structure of TcMoRh4 at the GGA-PBE level of DFT.

calculated volume: 15.1 Å³/atom
Fermi-level density of states: 2.027 states/eV per atom
energy of formation: 0.304 eV/atom
final energy: -8.13 eV per atom
magnetization: 0.0 μB/cell

Cell and atoms, written as CIF:
```
data_TcMoRh4
_cell_length_a 7.1263
_cell_length_b 7.1263
_cell_length_c 7.1263
_cell_angle_alpha 90.00
_cell_angle_beta 90.00
_cell_angle_gamma 90.00
_symmetry_space_group_name_H-M 'F -4 3 m'
_symmetry_Int_Tables_number 216
_symmetry_space_group_name_Hall 'F -4 2 3'
loop_
_atom_site_label
_atom_site_fract_x
_atom_site_fract_y
_atom_site_fract_z
Tc1 0.0000 0.0000 0.0000
Mo1 0.2500 0.2500 0.2500
Rh1 0.1252 0.1252 0.6252
```

---

Computed, not measured: an optimized crystal structure of AgSbAsI2 at the GGA-PBE level of DFT.

calculated volume: 33.4 Å³/atom
Fermi-level density of states: 1.000 states/eV per atom
final energy: -2.20 eV per atom
formation energy from raw total energies: 0.7494 eV/atom
magnetization: 0.0 μB/cell

Cell and atoms, written as CIF:
```
data_AgSbAsI2
_cell_length_a 5.5032
_cell_length_b 5.5032
_cell_length_c 5.5129
_cell_angle_alpha 90.00
_cell_angle_beta 90.00
_cell_angle_gamma 90.00
_symmetry_space_group_name_H-M 'P 4/m m m'
_symmetry_Int_Tables_number 123
_symmetry_space_group_name_Hall '-P 4 2'
loop_
_atom_site_label
_atom_site_fract_x
_atom_site_fract_y
_atom_site_fract_z
Ag1 0.0000 0.0000 0.0000
Sb1 0.0000 0.0000 0.5000
As1 0.5000 0.5000 0.5000
I1 0.0000 0.5000 0.0000
```

---

Computed, not measured: an optimized crystal structure of Dy3TaSe6 at the GGA-PBE level of DFT.

calculated volume: 26.5 Å³/atom
Fermi-level density of states: 0.424 states/eV per atom
final energy: -6.03 eV per atom
formation energy from raw total energies: -1.3704 eV/atom
magnetization: 7.0 μB/cell

Cell and atoms, written as CIF:
```
data_Dy3TaSe6
_cell_length_a 11.2207
_cell_length_b 13.9036
_cell_length_c 6.7974
_cell_angle_alpha 90.00
_cell_angle_beta 90.00
_cell_angle_gamma 90.00
_symmetry_space_group_name_H-M 'C m c 21'
_symmetry_Int_Tables_number 36
loop_
_symmetry_equiv_pos_as_xyz
'x,y,z'
'-x,-y,z+1/2'
'-x,y,z'
'x,-y,z+1/2'
'x+1/2,y+1/2,z'
'-x+1/2,-y+1/2,z+1/2'
'-x+1/2,y+1/2,z'
'x+1/2,-y+1/2,z+1/2'
loop_
_atom_site_label
_atom_site_fract_x
_atom_site_fract_y
_atom_site_fract_z
Dy1 0.0000 0.0929 0.0000
Dy2 0.1781 0.4052 0.9053
Ta1 0.0000 0.3027 0.3537
Se1 0.0000 0.2780 0.7183
Se2 0.0000 0.4695 0.2055
Se3 0.1637 0.0340 0.7047
Se4 0.1706 0.2313 0.1755
```

---

Computed, not measured: an optimized crystal structure of PmZn9Sn2 at the GGA-PBE level of DFT.

calculated volume: 18.9 Å³/atom
Fermi-level density of states: 0.362 states/eV per atom
energy of formation: -0.091 eV/atom
final energy: -2.11 eV per atom
magnetization: 0.0 μB/cell

Cell and atoms, written as CIF:
```
data_PmZn9Sn2
_cell_length_a 5.2856
_cell_length_b 5.2856
_cell_length_c 28.0788
_cell_angle_alpha 90.00
_cell_angle_beta 90.00
_cell_angle_gamma 120.00
_symmetry_space_group_name_H-M 'R -3 m'
_symmetry_Int_Tables_number 166
_symmetry_space_group_name_Hall '-R 3 2"'
loop_
_atom_site_label
_atom_site_fract_x
_atom_site_fract_y
_atom_site_fract_z
Pm1 0.0000 0.0000 0.0000
Zn1 0.0000 0.0000 0.3347
Zn2 0.0000 0.0000 0.5000
Zn3 0.0026 0.5013 0.9211
Sn1 0.0000 0.0000 0.1303
```